First-principles (GGA+U) data for a relaxed structure of Li7Mn2Co3O12, as listed in Alexandria via LeMat-Bulk.

```
Li7Mn2Co3O12
1.0
5.018 0.000 0.000
0.000 8.697 0.000
-1.659 0.000 4.823
Li Mn Co O
7 2 3 12
Cartesian
0.000 0.000 0.000
-0.830 1.343 2.411
-0.830 4.468 2.411
-0.830 7.329 2.411
1.679 2.945 2.411
1.679 5.862 2.411
1.679 8.617 2.411
0.000 2.919 0.000
2.509 1.433 0.000
0.000 5.934 0.000
2.509 4.375 0.000
2.509 7.253 0.000
0.859 4.321 1.044
0.823 7.213 1.148
0.890 1.592 1.065
-0.011 2.924 3.772
0.056 5.747 3.726
0.121 0.093 3.704
3.237 0.093 1.118
3.303 5.747 1.096
3.370 2.924 1.051
2.469 1.592 3.757
2.500 4.321 3.779
2.536 7.213 3.674
```

Results
calculated volume	210	Å³/cell
polymorph energy (0 for the lowest one)	0.55	eV/f.u.
space group	No. 3